i.
# Dy2Pa2Te7 (PBE-GGA, optimized geometry)
data_Dy2Pa2Te7
_chemical_formula_sum 'Dy2 Pa2 Te7'
_cell_length_a 5.2256
_cell_length_b 5.2256
_cell_length_c 14.7226
_cell_angle_alpha 90.00
_cell_angle_beta 90.00
_cell_angle_gamma 90.00
_space_group_name_H-M_alt 'P 1'
_space_group_IT_number 1
loop_
_space_group_symop_operation_xyz
'x,y,z'
loop_
_atom_site_label
_atom_site_fract_x
_atom_site_fract_y
_atom_site_fract_z
Pa1 0.5000 0.0000 0.3738
Pa2 0.0000 0.5000 0.6262
Te1 0.5000 0.5000 0.2557
Te2 0.0000 0.0000 0.5000
Te3 0.5000 0.5000 0.7443
Te4 0.5000 0.5000 0.0000
Te5 0.0000 0.0000 0.7646
Te6 0.5000 0.5000 0.5000
Te7 0.0000 0.0000 0.2354
Dy1 0.0000 0.5000 0.1361
Dy2 0.5000 0.0000 0.8639
# Space group   P-4m2, No. 115
# Magnetic moment   2.0 μB/f.u.

ii.
# Dy2Pa2Te7 (PBE-GGA, optimized geometry)
data_Dy2Pa2Te7
_chemical_formula_sum 'Dy2 Pa2 Te7'
_cell_length_a 4.2396
_cell_length_b 9.6417
_cell_length_c 9.6417
_cell_angle_alpha 60.54
_cell_angle_beta 77.30
_cell_angle_gamma 77.30
_space_group_name_H-M_alt 'P 1'
_space_group_IT_number 1
loop_
_space_group_symop_operation_xyz
'x,y,z'
loop_
_atom_site_label
_atom_site_fract_x
_atom_site_fract_y
_atom_site_fract_z
Dy1 0.7391 0.8581 0.6637
Dy2 0.2609 0.3363 0.1419
Te1 0.6087 0.4928 0.2897
Te2 0.1805 0.7111 0.9280
Te3 0.8195 0.0720 0.2889
Te4 0.1380 0.1427 0.5813
Te5 0.3913 0.7103 0.5072
Te6 0.5000 0.0114 0.9886
Te7 0.8620 0.4187 0.8573
Pa1 0.5000 0.3258 0.6742
Pa2 0.0000 0.7747 0.2253
# Space group   Imm2, No. 44
# Magnetic moment   1.8 μB/f.u.

Order of stability, best first: ii, i

i.
# DyPa2Te5 (PBE-GGA, optimized geometry)
data_DyPa2Te5
_chemical_formula_sum 'Dy2 Pa4 Te10'
_cell_length_a 8.0563
_cell_length_b 8.0563
_cell_length_c 9.2545
_cell_angle_alpha 115.80
_cell_angle_beta 115.80
_cell_angle_gamma 90.00
_space_group_name_H-M_alt 'P 1'
_space_group_IT_number 1
loop_
_space_group_symop_operation_xyz
'x,y,z'
loop_
_atom_site_label
_atom_site_fract_x
_atom_site_fract_y
_atom_site_fract_z
Te1 0.3134 0.8134 0.2983
Te2 0.8134 0.9849 0.2983
Te3 0.5000 0.5000 0.0000
Te4 0.9849 0.4849 0.2983
Te5 0.1866 0.0151 0.7017
Te6 0.6866 0.1866 0.7017
Te7 0.0151 0.5151 0.7017
Te8 0.5151 0.6866 0.7017
Te9 0.0000 0.0000 0.0000
Te10 0.4849 0.3134 0.2983
Pa1 0.6392 0.1392 0.0000
Pa2 0.8608 0.6392 0.0000
Pa3 0.1392 0.3608 0.0000
Pa4 0.3608 0.8608 0.0000
Dy1 0.2500 0.2500 0.5000
Dy2 0.7500 0.7500 0.5000
# Space group   I4/mcm, No. 140
# Magnetic moment   3.0 μB/f.u.

ii.
# DyPa2Te5 (PBE-GGA, optimized geometry)
data_DyPa2Te5
_chemical_formula_sum 'Dy1 Pa2 Te5'
_cell_length_a 5.2434
_cell_length_b 7.4631
_cell_length_c 7.4631
_cell_angle_alpha 90.00
_cell_angle_beta 90.00
_cell_angle_gamma 90.00
_space_group_name_H-M_alt 'P 1'
_space_group_IT_number 1
loop_
_space_group_symop_operation_xyz
'x,y,z'
loop_
_atom_site_label
_atom_site_fract_x
_atom_site_fract_y
_atom_site_fract_z
Te1 0.0000 0.2794 0.2794
Te2 0.0000 0.2794 0.7206
Te3 0.0000 0.7206 0.2794
Te4 0.5000 0.0000 0.0000
Te5 0.0000 0.7206 0.7206
Pa1 0.5000 0.5000 0.0000
Pa2 0.5000 0.0000 0.5000
Dy1 0.0000 0.0000 0.0000
# Space group   P4/mmm, No. 123
# Magnetic moment   3.8 μB/f.u.

Order of stability, best first: i, ii

i.
# DyThPa2 (PBE-GGA, optimized geometry)
data_DyThPa2
_chemical_formula_sum 'Dy1 Th1 Pa2'
_cell_length_a 3.3504
_cell_length_b 3.3504
_cell_length_c 9.9700
_cell_angle_alpha 90.00
_cell_angle_beta 90.00
_cell_angle_gamma 90.00
_space_group_name_H-M_alt 'P 1'
_space_group_IT_number 1
loop_
_space_group_symop_operation_xyz
'x,y,z'
loop_
_atom_site_label
_atom_site_fract_x
_atom_site_fract_y
_atom_site_fract_z
Pa1 0.0000 0.0000 0.7472
Pa2 0.0000 0.0000 0.2528
Th1 0.5000 0.5000 0.5000
Dy1 0.5000 0.5000 0.0000
# Space group   P4/mmm, No. 123
# Magnetic moment   0.0 μB/f.u.

ii.
# DyThPa2 (PBE-GGA, optimized geometry)
data_DyThPa2
_chemical_formula_sum 'Dy1 Th1 Pa2'
_cell_length_a 5.4204
_cell_length_b 5.4204
_cell_length_c 5.4209
_cell_angle_alpha 60.00
_cell_angle_beta 60.00
_cell_angle_gamma 60.00
_space_group_name_H-M_alt 'P 1'
_space_group_IT_number 1
loop_
_space_group_symop_operation_xyz
'x,y,z'
loop_
_atom_site_label
_atom_site_fract_x
_atom_site_fract_y
_atom_site_fract_z
Dy1 0.0000 0.0000 0.0000
Pa1 0.7496 0.7496 0.7512
Pa2 0.2504 0.2504 0.2488
Th1 0.5000 0.5000 0.5000
# Space group   Fm-3m, No. 225
# Magnetic moment   0.0 μB/f.u.

Order of stability, best first: i, ii

i.
# Dy2PaTl (PBE-GGA, optimized geometry)
data_Dy2PaTl
_chemical_formula_sum 'Dy2 Pa1 Tl1'
_cell_length_a 3.4684
_cell_length_b 3.4684
_cell_length_c 9.2338
_cell_angle_alpha 90.00
_cell_angle_beta 90.00
_cell_angle_gamma 90.00
_space_group_name_H-M_alt 'P 1'
_space_group_IT_number 1
loop_
_space_group_symop_operation_xyz
'x,y,z'
loop_
_atom_site_label
_atom_site_fract_x
_atom_site_fract_y
_atom_site_fract_z
Tl1 0.5000 0.5000 0.0000
Dy1 0.0000 0.0000 0.2440
Dy2 0.0000 0.0000 0.7560
Pa1 0.5000 0.5000 0.5000
# Space group   P4/mmm, No. 123
# Magnetic moment   0.4 μB/f.u.

ii.
# Dy2PaTl (PBE-GGA, optimized geometry)
data_Dy2PaTl
_chemical_formula_sum 'Dy2 Pa1 Tl1'
_cell_length_a 3.3002
_cell_length_b 3.3002
_cell_length_c 12.0883
_cell_angle_alpha 82.15
_cell_angle_beta 82.15
_cell_angle_gamma 60.00
_space_group_name_H-M_alt 'P 1'
_space_group_IT_number 1
loop_
_space_group_symop_operation_xyz
'x,y,z'
loop_
_atom_site_label
_atom_site_fract_x
_atom_site_fract_y
_atom_site_fract_z
Dy1 0.0905 0.0905 0.7284
Dy2 0.9095 0.9095 0.2716
Tl1 0.5000 0.5000 0.5000
Pa1 0.0000 0.0000 0.0000
# Space group   R-3m, No. 166
# Magnetic moment   0.0 μB/f.u.

iii.
# Dy2PaTl (PBE-GGA, optimized geometry)
data_Dy2PaTl
_chemical_formula_sum 'Dy2 Pa1 Tl1'
_cell_length_a 4.5348
_cell_length_b 4.8885
_cell_length_c 4.8885
_cell_angle_alpha 90.00
_cell_angle_beta 90.00
_cell_angle_gamma 90.00
_space_group_name_H-M_alt 'P 1'
_space_group_IT_number 1
loop_
_space_group_symop_operation_xyz
'x,y,z'
loop_
_atom_site_label
_atom_site_fract_x
_atom_site_fract_y
_atom_site_fract_z
Pa1 0.5000 0.5000 0.5000
Dy1 0.0000 0.0000 0.5000
Dy2 0.0000 0.5000 0.0000
Tl1 0.5000 0.0000 0.0000
# Space group   P4/mmm, No. 123
# Magnetic moment   0.0 μB/f.u.

Order of stability, best first: i, iii, ii

i.
# DyPaTl2 (PBE-GGA, optimized geometry)
data_DyPaTl2
_chemical_formula_sum 'Dy1 Pa1 Tl2'
_cell_length_a 3.4125
_cell_length_b 3.4125
_cell_length_c 9.1112
_cell_angle_alpha 90.00
_cell_angle_beta 90.00
_cell_angle_gamma 90.00
_space_group_name_H-M_alt 'P 1'
_space_group_IT_number 1
loop_
_space_group_symop_operation_xyz
'x,y,z'
loop_
_atom_site_label
_atom_site_fract_x
_atom_site_fract_y
_atom_site_fract_z
Dy1 0.5000 0.5000 0.0000
Tl1 0.0000 0.0000 0.7540
Tl2 0.0000 0.0000 0.2460
Pa1 0.5000 0.5000 0.5000
# Space group   P4/mmm, No. 123
# Magnetic moment   1.4 μB/f.u.

ii.
# DyPaTl2 (PBE-GGA, optimized geometry)
data_DyPaTl2
_chemical_formula_sum 'Dy1 Pa1 Tl2'
_cell_length_a 5.3763
_cell_length_b 5.3763
_cell_length_c 5.3759
_cell_angle_alpha 60.00
_cell_angle_beta 60.00
_cell_angle_gamma 60.00
_space_group_name_H-M_alt 'P 1'
_space_group_IT_number 1
loop_
_space_group_symop_operation_xyz
'x,y,z'
loop_
_atom_site_label
_atom_site_fract_x
_atom_site_fract_y
_atom_site_fract_z
Tl1 0.2500 0.2500 0.2499
Tl2 0.7500 0.7500 0.7501
Dy1 0.5000 0.5000 0.5000
Pa1 0.0000 0.0000 0.0000
# Space group   Fm-3m, No. 225
# Magnetic moment   1.6 μB/f.u.

Order of stability, best first: i, ii

i.
# DyTmPa (PBE-GGA, optimized geometry)
data_DyTmPa
_chemical_formula_sum 'Dy2 Tm2 Pa2'
_cell_length_a 3.9482
_cell_length_b 3.9482
_cell_length_c 11.1127
_cell_angle_alpha 90.00
_cell_angle_beta 90.00
_cell_angle_gamma 90.00
_space_group_name_H-M_alt 'P 1'
_space_group_IT_number 1
loop_
_space_group_symop_operation_xyz
'x,y,z'
loop_
_atom_site_label
_atom_site_fract_x
_atom_site_fract_y
_atom_site_fract_z
Pa1 0.5000 0.0000 0.0655
Pa2 0.0000 0.5000 0.9345
Tm1 0.5000 0.0000 0.7742
Tm2 0.0000 0.5000 0.2258
Dy1 0.5000 0.0000 0.4013
Dy2 0.0000 0.5000 0.5987
# Space group   P4/nmm, No. 129
# Magnetic moment   0.0 μB/f.u.

ii.
# DyTmPa (PBE-GGA, optimized geometry)
data_DyTmPa
_chemical_formula_sum 'Dy1 Tm1 Pa1'
_cell_length_a 3.4062
_cell_length_b 3.4062
_cell_length_c 8.4720
_cell_angle_alpha 90.00
_cell_angle_beta 90.00
_cell_angle_gamma 120.00
_space_group_name_H-M_alt 'P 1'
_space_group_IT_number 1
loop_
_space_group_symop_operation_xyz
'x,y,z'
loop_
_atom_site_label
_atom_site_fract_x
_atom_site_fract_y
_atom_site_fract_z
Tm1 0.6667 0.3333 0.3205
Dy1 0.3333 0.6667 0.6784
Pa1 0.0000 0.0000 0.0011
# Space group   P3m1, No. 156
# Magnetic moment   0.0 μB/f.u.

iii.
# DyTmPa (PBE-GGA, optimized geometry)
data_DyTmPa
_chemical_formula_sum 'Dy1 Tm1 Pa1'
_cell_length_a 3.3906
_cell_length_b 3.3906
_cell_length_c 7.8475
_cell_angle_alpha 102.48
_cell_angle_beta 102.48
_cell_angle_gamma 90.00
_space_group_name_H-M_alt 'P 1'
_space_group_IT_number 1
loop_
_space_group_symop_operation_xyz
'x,y,z'
loop_
_atom_site_label
_atom_site_fract_x
_atom_site_fract_y
_atom_site_fract_z
Pa1 0.3326 0.3326 0.6653
Tm1 0.6760 0.6760 0.3520
Dy1 0.9914 0.9914 0.9827
# Space group   I4mm, No. 107
# Magnetic moment   0.0 μB/f.u.

Order of stability, best first: ii, iii, i

i.
# DyYPa (PBE-GGA, optimized geometry)
data_DyYPa
_chemical_formula_sum 'Dy1 Y1 Pa1'
_cell_length_a 3.4315
_cell_length_b 3.4315
_cell_length_c 8.5467
_cell_angle_alpha 90.00
_cell_angle_beta 90.00
_cell_angle_gamma 120.00
_space_group_name_H-M_alt 'P 1'
_space_group_IT_number 1
loop_
_space_group_symop_operation_xyz
'x,y,z'
loop_
_atom_site_label
_atom_site_fract_x
_atom_site_fract_y
_atom_site_fract_z
Y1 0.3333 0.6667 0.6798
Dy1 0.6667 0.3333 0.3192
Pa1 0.0000 0.0000 0.0010
# Space group   P3m1, No. 156
# Magnetic moment   0.0 μB/f.u.

ii.
# DyYPa (PBE-GGA, optimized geometry)
data_DyYPa
_chemical_formula_sum 'Dy1 Y1 Pa1'
_cell_length_a 3.4043
_cell_length_b 3.4043
_cell_length_c 7.9599
_cell_angle_alpha 102.35
_cell_angle_beta 102.35
_cell_angle_gamma 90.00
_space_group_name_H-M_alt 'P 1'
_space_group_IT_number 1
loop_
_space_group_symop_operation_xyz
'x,y,z'
loop_
_atom_site_label
_atom_site_fract_x
_atom_site_fract_y
_atom_site_fract_z
Y1 0.9904 0.9904 0.9809
Dy1 0.6770 0.6770 0.3540
Pa1 0.3325 0.3325 0.6651
# Space group   I4mm, No. 107
# Magnetic moment   0.1 μB/f.u.

Order of stability, best first: i, ii

i.
# DyZrPa2 (PBE-GGA, optimized geometry)
data_DyZrPa2
_chemical_formula_sum 'Dy1 Zr1 Pa2'
_cell_length_a 5.0674
_cell_length_b 4.5021
_cell_length_c 4.5021
_cell_angle_alpha 90.00
_cell_angle_beta 90.00
_cell_angle_gamma 90.00
_space_group_name_H-M_alt 'P 1'
_space_group_IT_number 1
loop_
_space_group_symop_operation_xyz
'x,y,z'
loop_
_atom_site_label
_atom_site_fract_x
_atom_site_fract_y
_atom_site_fract_z
Pa1 0.0000 0.5000 0.0000
Pa2 0.0000 0.0000 0.5000
Zr1 0.5000 0.0000 0.0000
Dy1 0.5000 0.5000 0.5000
# Space group   P4/mmm, No. 123
# Magnetic moment   0.0 μB/f.u.

ii.
# DyZrPa2 (PBE-GGA, optimized geometry)
data_DyZrPa2
_chemical_formula_sum 'Dy1 Zr1 Pa2'
_cell_length_a 3.1680
_cell_length_b 3.1680
_cell_length_c 10.2701
_cell_angle_alpha 90.00
_cell_angle_beta 90.00
_cell_angle_gamma 90.00
_space_group_name_H-M_alt 'P 1'
_space_group_IT_number 1
loop_
_space_group_symop_operation_xyz
'x,y,z'
loop_
_atom_site_label
_atom_site_fract_x
_atom_site_fract_y
_atom_site_fract_z
Zr1 0.5000 0.5000 0.0000
Pa1 0.0000 0.0000 0.2390
Pa2 0.0000 0.0000 0.7610
Dy1 0.5000 0.5000 0.5000
# Space group   P4/mmm, No. 123
# Magnetic moment   0.0 μB/f.u.

Order of stability, best first: ii, i